Entry 1:
# Be2TlIr2 (GGA-PBE, optimized geometry)
# Size of the total moment: 0.0000 μB per atom
# Offset from the most stable computed form: 0.0000 eV per atom
# Density of states at the Fermi level: 3.9 states/eV/cell
# DFT formation energy: -0.050 eV per atom
data_Be2TlIr2
_cell_length_a 6.7925
_cell_length_b 6.7925
_cell_length_c 2.8986
_cell_angle_alpha 90.00
_cell_angle_beta 90.00
_cell_angle_gamma 90.00
_symmetry_space_group_name_H-M 'P 4/m b m'
_symmetry_Int_Tables_number 127
_symmetry_space_group_name_Hall '-P 4 2ab'
loop_
_atom_site_label
_atom_site_type_symbol
_atom_site_fract_x
_atom_site_fract_y
_atom_site_fract_z
Be1 Be 0.1222 0.3778 0.0000
Tl1 Tl 0.0000 0.0000 0.0000
Ir1 Ir 0.1595 0.6595 0.5000

Entry 2:
# MgH (GGA-PBE, optimized geometry)
# Size of the total moment: 0.0000 μB per atom
# Offset from the most stable computed form: 0.2368 eV per atom
# Density of states at the Fermi level: 1.7 states/eV/cell
data_MgH
_cell_length_a 3.2427
_cell_length_b 3.2427
_cell_length_c 5.5624
_cell_angle_alpha 90.00
_cell_angle_beta 90.00
_cell_angle_gamma 120.00
_symmetry_space_group_name_H-M 'P 63 m c'
_symmetry_Int_Tables_number 186
_symmetry_space_group_name_Hall 'P 6c -2c'
loop_
_atom_site_label
_atom_site_type_symbol
_atom_site_fract_x
_atom_site_fract_y
_atom_site_fract_z
Mg1 Mg 0.3333 0.6667 0.0000
H1 H 0.3333 0.6667 0.6332

Entry 3:
# NdAgHgRh (GGA-PBE, optimized geometry)
# Size of the total moment: 0.0000 μB per atom
# Density of states at the Fermi level: 10.8 states/eV/cell
# DFT formation energy: -0.270 eV per atom
data_NdAgHgRh
_cell_length_a 6.9662
_cell_length_b 6.9662
_cell_length_c 6.9662
_cell_angle_alpha 90.00
_cell_angle_beta 90.00
_cell_angle_gamma 90.00
_symmetry_space_group_name_H-M 'F -4 3 m'
_symmetry_Int_Tables_number 216
_symmetry_space_group_name_Hall 'F -4 2 3'
loop_
_atom_site_label
_atom_site_type_symbol
_atom_site_fract_x
_atom_site_fract_y
_atom_site_fract_z
Nd1 Nd 0.0000 0.0000 0.0000
Ag1 Ag 0.2500 0.2500 0.7500
Hg1 Hg 0.0000 0.0000 0.5000
Rh1 Rh 0.2500 0.2500 0.2500

Entry 4:
# CsLiTlSiBr (GGA-PBE, optimized geometry)
# ΔE_f (raw): -0.456 eV per atom
# Size of the total moment: 0.0000 μB per atom
# Offset from the most stable computed form: 0.0694 eV per atom
# Density of states at the Fermi level: 1.4 states/eV/cell
data_CsLiTlSiBr
_cell_length_a 19.8418
_cell_length_b 3.8915
_cell_length_c 4.2951
_cell_angle_alpha 90.00
_cell_angle_beta 102.38
_cell_angle_gamma 90.00
_symmetry_space_group_name_H-M 'C 1 m 1'
_symmetry_Int_Tables_number 8
loop_
_symmetry_equiv_pos_as_xyz
'x,y,z'
'x,-y,z'
'x+1/2,y+1/2,z'
'x+1/2,-y+1/2,z'
loop_
_atom_site_label
_atom_site_type_symbol
_atom_site_fract_x
_atom_site_fract_y
_atom_site_fract_z
Cs1 Cs 0.0000 0.0000 0.0000
Li1 Li 0.1978 0.0000 0.6921
Tl1 Tl 0.3178 0.5000 0.3047
Si1 Si 0.3328 0.0000 0.8183
Br1 Br 0.1124 0.5000 0.6120

Entry 5:
# BaBeH2F8 (GGA-PBE, optimized geometry)
# Size of the total moment: 0.1689 μB per atom
# E: -4.46 eV/atom
# Density of states at the Fermi level: 4.9 states/eV/cell
data_BaBeH2F8
_cell_length_a 4.5843
_cell_length_b 4.6992
_cell_length_c 7.6112
_cell_angle_alpha 90.02
_cell_angle_beta 90.21
_cell_angle_gamma 114.10
_symmetry_space_group_name_H-M 'P -1'
_symmetry_Int_Tables_number 2
loop_
_symmetry_equiv_pos_as_xyz
'x,y,z'
'-x,-y,-z'
loop_
_atom_site_label
_atom_site_type_symbol
_atom_site_fract_x
_atom_site_fract_y
_atom_site_fract_z
Ba1 Ba 0.0000 0.0000 0.0000
Be1 Be 0.0000 0.0000 0.5000
H1 H 0.0015 0.5006 0.6617
F1 F 0.0171 0.2638 0.3298
F2 F 0.0202 0.2655 0.6703
F3 F 0.3643 0.6463 0.0013
F4 F 0.4172 0.1621 0.4995

Entry 6:
# BaPbCSe2 (GGA-PBE, optimized geometry)
# ΔE_f (raw): 1.691 eV per atom
# Size of the total moment: 0.4787 μB per atom
# Density of states at the Fermi level: 14.2 states/eV/cell
data_BaPbCSe2
_cell_length_a 6.0020
_cell_length_b 6.0020
_cell_length_c 6.9842
_cell_angle_alpha 90.00
_cell_angle_beta 90.00
_cell_angle_gamma 90.00
_symmetry_space_group_name_H-M 'P 4/m m m'
_symmetry_Int_Tables_number 123
_symmetry_space_group_name_Hall '-P 4 2'
loop_
_atom_site_label
_atom_site_type_symbol
_atom_site_fract_x
_atom_site_fract_y
_atom_site_fract_z
Ba1 Ba 0.0000 0.0000 0.0000
Pb1 Pb 0.0000 0.0000 0.5000
C1 C 0.5000 0.5000 0.5000
Se1 Se 0.0000 0.5000 0.0000

Entry 7:
# BiRu3Cl (GGA-PBE, optimized geometry)
# ΔE_f (raw): 2.013 eV per atom
# Size of the total moment: 1.0644 μB per atom
# Offset from the most stable computed form: 0.9616 eV per atom
# Density of states at the Fermi level: 5.9 states/eV/cell
data_BiRu3Cl
_cell_length_a 5.1019
_cell_length_b 5.1019
_cell_length_c 5.1019
_cell_angle_alpha 90.00
_cell_angle_beta 90.00
_cell_angle_gamma 90.00
_symmetry_space_group_name_H-M 'P m -3 m'
_symmetry_Int_Tables_number 221
_symmetry_space_group_name_Hall '-P 4 2 3'
loop_
_atom_site_label
_atom_site_type_symbol
_atom_site_fract_x
_atom_site_fract_y
_atom_site_fract_z
Bi1 Bi 0.0000 0.0000 0.0000
Ru1 Ru 0.0000 0.0000 0.5000
Cl1 Cl 0.5000 0.5000 0.5000

Entry 8:
# Na3FeAs (GGA-PBE, optimized geometry)
# Size of the total moment: 0.8000 μB per atom
# Offset from the most stable computed form: 0.0000 eV per atom
# Density of states at the Fermi level: 3.5 states/eV/cell
# DFT formation energy: 0.564 eV per atom
data_Na3FeAs
_cell_length_a 5.5250
_cell_length_b 5.5250
_cell_length_c 5.5250
_cell_angle_alpha 90.00
_cell_angle_beta 90.00
_cell_angle_gamma 90.00
_symmetry_space_group_name_H-M 'P m -3 m'
_symmetry_Int_Tables_number 221
_symmetry_space_group_name_Hall '-P 4 2 3'
loop_
_atom_site_label
_atom_site_type_symbol
_atom_site_fract_x
_atom_site_fract_y
_atom_site_fract_z
Na1 Na 0.0000 0.0000 0.5000
Fe1 Fe 0.5000 0.5000 0.5000
As1 As 0.0000 0.0000 0.0000

Entry 9:
# CaPrGePt (GGA-PBE, optimized geometry)
# Size of the total moment: 0.0000 μB per atom
# Density of states at the Fermi level: 10.1 states/eV/cell
# DFT formation energy: -0.775 eV per atom
data_CaPrGePt
_cell_length_a 7.2502
_cell_length_b 7.2502
_cell_length_c 7.2502
_cell_angle_alpha 90.00
_cell_angle_beta 90.00
_cell_angle_gamma 90.00
_symmetry_space_group_name_H-M 'F -4 3 m'
_symmetry_Int_Tables_number 216
_symmetry_space_group_name_Hall 'F -4 2 3'
loop_
_atom_site_label
_atom_site_type_symbol
_atom_site_fract_x
_atom_site_fract_y
_atom_site_fract_z
Ca1 Ca 0.0000 0.0000 0.0000
Pr1 Pr 0.0000 0.0000 0.5000
Ge1 Ge 0.2500 0.2500 0.7500
Pt1 Pt 0.2500 0.2500 0.2500

Entry 10:
# Ce2Re2Si5 (GGA-PBE, optimized geometry)
# ΔE_f (raw): -0.249 eV per atom
# Size of the total moment: 0.0368 μB per atom
# Density of states at the Fermi level: 28.3 states/eV/cell
data_Ce2Re2Si5
_cell_length_a 12.4389
_cell_length_b 7.9945
_cell_length_c 6.8557
_cell_angle_alpha 90.00
_cell_angle_beta 90.00
_cell_angle_gamma 90.00
_symmetry_space_group_name_H-M 'C m c e'
_symmetry_Int_Tables_number 64
_symmetry_space_group_name_Hall '-C 2ac 2'
loop_
_atom_site_label
_atom_site_type_symbol
_atom_site_fract_x
_atom_site_fract_y
_atom_site_fract_z
Ce1 Ce 0.2264 0.0000 0.0000
Re1 Re 0.0000 0.0836 0.3286
Si1 Si 0.0000 0.0000 0.0000
Si2 Si 0.1004 0.1923 0.6582

Entry 11:
# Pm6Dy3Er (GGA-PBE, optimized geometry)
# Size of the total moment: 0.0001 μB per atom
# Offset from the most stable computed form: 0.0000 eV per atom
# Density of states at the Fermi level: 66.2 states/eV/cell
# DFT formation energy: 0.125 eV per atom
data_Pm6Dy3Er
_cell_length_a 9.7931
_cell_length_b 21.3001
_cell_length_c 6.4128
_cell_angle_alpha 90.00
_cell_angle_beta 90.00
_cell_angle_gamma 90.00
_symmetry_space_group_name_H-M 'C m c 21'
_symmetry_Int_Tables_number 36
loop_
_symmetry_equiv_pos_as_xyz
'x,y,z'
'-x,-y,z+1/2'
'-x,y,z'
'x,-y,z+1/2'
'x+1/2,y+1/2,z'
'-x+1/2,-y+1/2,z+1/2'
'-x+1/2,y+1/2,z'
'x+1/2,-y+1/2,z+1/2'
loop_
_atom_site_label
_atom_site_type_symbol
_atom_site_fract_x
_atom_site_fract_y
_atom_site_fract_z
Pm1 Pm 0.0000 0.0163 0.0000
Pm2 Pm 0.0000 0.3007 0.9751
Pm3 Pm 0.1750 0.2807 0.5021
Pm4 Pm 0.1811 0.4395 0.7464
Dy1 Dy 0.0000 0.4204 0.2672
Dy2 Dy 0.1676 0.1255 0.6702
Er1 Er 0.0000 0.1587 0.1961

Entry 12:
# La8NiGe3I4 (GGA-PBE, optimized geometry)
# ΔE_f (raw): -0.977 eV per atom
# Size of the total moment: 0.0725 μB per atom
# Density of states at the Fermi level: 38.5 states/eV/cell
data_La8NiGe3I4
_cell_length_a 8.8821
_cell_length_b 8.8821
_cell_length_c 23.2046
_cell_angle_alpha 90.00
_cell_angle_beta 90.00
_cell_angle_gamma 120.00
_symmetry_space_group_name_H-M 'R -3 m'
_symmetry_Int_Tables_number 166
_symmetry_space_group_name_Hall '-R 3 2"'
loop_
_atom_site_label
_atom_site_type_symbol
_atom_site_fract_x
_atom_site_fract_y
_atom_site_fract_z
La1 La 0.0000 0.0000 0.2360
La2 La 0.0120 0.5060 0.2331
Ni1 Ni 0.0000 0.0000 0.5000
Ge1 Ge 0.0000 0.5000 0.5000
I1 I 0.0000 0.0000 0.0000
I2 I 0.0000 0.5000 0.0000